Below is an optimized crystal structure of HoTmThCd, with properties calculated at the GGA-PBE level.

Geometry as POSCAR:
```
HoTmThCd
1.0
3.593 0.000 0.000
0.000 3.593 0.000
0.000 0.000 8.790
Ho Tm Cd Th
1 1 1 1
Cartesian
1.796 1.796 7.037
1.796 1.796 3.011
0.000 0.000 4.997
0.000 0.000 0.642
```

Properties
**Electronic total energy**: -18.0 eV/cell
**ΔE to the lowest computed polymorph**: 0.0 meV/atom
**V**: 28.37 A^3/atom
**Formation energy**: -0.6 eV/f.u.
**Symmetry**: P4mm (99)